Computed, not measured: a geometry-optimized Ba2NiBr6 structure at the PBE level of DFT.

```
Ba2NiBr6
1.0
7.109 0.000 0.000
0.000 8.147 0.000
-6.929 0.000 10.189
Ba Ni Br
4 2 12
direct
0.219 0.101 0.256 Ba
0.219 0.399 0.756 Ba
0.781 0.601 0.244 Ba
0.781 0.899 0.744 Ba
0.500 0.000 0.000 Ni
0.500 0.500 0.500 Ni
0.155 0.164 0.958 Br
0.155 0.336 0.458 Br
0.289 0.714 0.955 Br
0.289 0.786 0.455 Br
0.343 0.013 0.757 Br
0.343 0.487 0.257 Br
0.657 0.513 0.743 Br
0.657 0.987 0.243 Br
0.711 0.214 0.545 Br
0.711 0.286 0.045 Br
0.845 0.664 0.542 Br
0.845 0.836 0.042 Br
```

Computed properties:
Symmetry   No. 14
Offset from the most stable computed form   0 meV per atom

Computed, not measured: a geometry-optimized BaNi4Br structure at the PBE level of DFT.

```
BaNi4Br
1.0
0.000 3.754 3.754
3.754 0.000 3.754
3.754 3.754 0.000
Ba Ni Br
1 4 1
direct
0.000 0.000 0.000 Ba
0.375 0.375 0.375 Ni
0.375 0.375 0.876 Ni
0.375 0.876 0.375 Ni
0.876 0.375 0.375 Ni
0.750 0.750 0.750 Br
```

Computed properties:
Symmetry   No. 216

no.,DFT total energy (eV/atom),raw formation energy (kJ/mol of formula units)
1,-3.75,-1356
2,-4.16,167